Density functional theory data (PBE) for an optimized crystal structure of RbLa2S.

Space-group type: I-42d, No. 122
D(E_F) (states/eV/f.u.): 3.9
VASP energy (eV per cell): -33.46
Raw formation energy (eV/atom): -0.44

Cell lengths 7.705, 7.705, 7.705 Å; angles 101.58, 101.58, 126.77 degrees
Positions (direct):
Rb 0.000 0.000 0.000
Rb 0.750 0.250 0.500
La 0.248 0.625 0.123
La 0.375 0.498 0.623
La 0.502 0.125 0.877
La 0.875 0.752 0.377
S 0.250 0.750 0.500
S 0.500 0.500 0.000